[1]
An optimized crystal structure of AgHg2Sb. Source: Alexandria via LeMat-Bulk, functional PBEsol.

Cell lengths 3.215, 4.942, 5.884 Å; angles 90.00, 90.13, 90.00 degrees
Space group Pm (No. 6)
Inequivalent atoms, fractional coordinates:
Ag 0.000 0.000 0.000 (multiplicity 1)
Hg 0.000 0.000 0.500 (multiplicity 1)
Hg 0.500 0.500 0.503 (multiplicity 1)
Sb 0.500 0.500 0.003 (multiplicity 1)

VASP energy, eV/atom: -2.166
ΔE_f (raw), eV/atom: 0.084

[2]
An optimized crystal structure of AgHgSb2. Source: Alexandria via LeMat-Bulk, functional PBEsol.

Cell lengths 7.999, 3.098, 7.760 Å; angles 90.00, 92.74, 90.00 degrees
Space group C2/m (No. 12)
Inequivalent atoms, fractional coordinates:
Ag 0.000 0.000 0.000 (multiplicity 2)
Hg 0.000 0.500 0.500 (multiplicity 2)
Sb 0.220 0.500 0.221 (multiplicity 4)

VASP energy, eV/atom: -3.173
ΔE_f (raw), eV/atom: 0.075

[3]
An optimized crystal structure of Ag2HgSb. Source: Alexandria via LeMat-Bulk, functional PBEsol.

Cell lengths 3.137, 4.228, 6.143 Å; angles 90.00, 90.00, 90.00 degrees
Space group Pmm2 (No. 25)
Inequivalent atoms, fractional coordinates:
Ag 0.000 0.000 0.000 (multiplicity 1)
Ag 0.500 0.500 0.242 (multiplicity 1)
Hg 0.000 0.000 0.462 (multiplicity 1)
Sb 0.500 0.500 0.777 (multiplicity 1)

VASP energy, eV/atom: -2.856
ΔE_f (raw), eV/atom: 0.081

[4]
An optimized crystal structure of AgHgSb2. Source: Alexandria via LeMat-Bulk, functional PBEsol.

Cell lengths 4.365, 4.384, 9.734 Å; angles 90.00, 90.00, 90.00 degrees
Space group Cmm2 (No. 35)
Inequivalent atoms, fractional coordinates:
Ag 0.000 0.000 0.000 (multiplicity 2)
Hg 0.000 0.500 0.212 (multiplicity 2)
Sb 0.000 0.000 0.474 (multiplicity 2)
Sb 0.000 0.500 0.781 (multiplicity 2)

VASP energy, eV/atom: -3.106
ΔE_f (raw), eV/atom: 0.142

[5]
An optimized crystal structure of Ag2HgSb. Source: Alexandria via LeMat-Bulk, functional PBEsol.

Cell lengths 10.730, 3.065, 5.099 Å; angles 90.00, 103.91, 90.00 degrees
Space group Cm (No. 8)
Inequivalent atoms, fractional coordinates:
Ag 0.000 0.000 0.000 (multiplicity 2)
Ag 0.206 0.500 0.328 (multiplicity 2)
Hg 0.461 0.000 0.478 (multiplicity 2)
Sb 0.252 0.000 0.850 (multiplicity 2)

VASP energy, eV/atom: -2.860
ΔE_f (raw), eV/atom: 0.076

[6]
An optimized crystal structure of AgHgSb2. Source: Alexandria via LeMat-Bulk, functional PBEsol.

Cell lengths 6.569, 8.698, 3.317 Å; angles 90.00, 101.22, 90.00 degrees
Space group C2/m (No. 12)
Inequivalent atoms, fractional coordinates:
Ag 0.000 0.000 0.000 (multiplicity 2)
Hg 0.000 0.500 0.000 (multiplicity 2)
Sb 0.250 0.250 0.500 (multiplicity 4)

VASP energy, eV/atom: -3.067
ΔE_f (raw), eV/atom: 0.181

[7]
An optimized crystal structure of AgHg2SbTe. Source: Alexandria via LeMat-Bulk, functional PBEsol.

Cell lengths 5.129, 5.129, 5.501 Å; angles 90.00, 90.00, 90.00 degrees
Space group P4/mmm (No. 123)
Inequivalent atoms, fractional coordinates:
Ag 0.000 0.000 0.000 (multiplicity 1)
Hg 0.000 0.500 0.000 (multiplicity 2)
Sb 0.500 0.500 0.500 (multiplicity 1)
Te 0.000 0.000 0.500 (multiplicity 1)

VASP energy, eV/atom: -2.078
ΔE_f (raw), eV/atom: 0.427

[8]
An optimized crystal structure of ScAgHg2. Source: Alexandria via LeMat-Bulk, functional PBEsol.

Cell lengths 3.503, 3.503, 6.486 Å; angles 90.00, 90.00, 90.00 degrees
Space group P4mm (No. 99)
Inequivalent atoms, fractional coordinates:
Sc 0.000 0.000 0.000 (multiplicity 1)
Ag 0.500 0.500 0.238 (multiplicity 1)
Hg 0.000 0.000 0.476 (multiplicity 1)
Hg 0.500 0.500 0.756 (multiplicity 1)

VASP energy, eV/atom: -3.000
Formation energy, eV/atom: -0.238

[9]
An optimized crystal structure of ScAgHg. Source: Alexandria via LeMat-Bulk, functional PBEsol.

Cell lengths 3.590, 3.590, 8.893 Å; angles 90.00, 90.00, 90.00 degrees
Space group I4mm (No. 107)
Inequivalent atoms, fractional coordinates:
Sc 0.000 0.000 0.000 (multiplicity 2)
Ag 0.000 0.000 0.668 (multiplicity 2)
Hg 0.000 0.000 0.332 (multiplicity 2)

VASP energy, eV/atom: -3.862
Formation energy, eV/atom: -0.368

[10]
An optimized crystal structure of ScAg2Hg. Source: Alexandria via LeMat-Bulk, functional PBEsol.

Cell lengths 3.439, 3.439, 6.299 Å; angles 90.00, 90.00, 90.00 degrees
Space group P4mm (No. 99)
Inequivalent atoms, fractional coordinates:
Sc 0.000 0.000 0.000 (multiplicity 1)
Ag 0.000 0.000 0.484 (multiplicity 1)
Ag 0.500 0.500 0.251 (multiplicity 1)
Hg 0.500 0.500 0.737 (multiplicity 1)

VASP energy, eV/atom: -3.684
Formation energy, eV/atom: -0.236

[11]
An optimized crystal structure of ScAgHg2. Source: Alexandria via LeMat-Bulk, functional PBEsol.

Cell lengths 4.675, 4.675, 7.047 Å; angles 90.00, 90.00, 90.00 degrees
Space group I-4m2 (No. 119)
Inequivalent atoms, fractional coordinates:
Sc 0.000 0.000 0.000 (multiplicity 2)
Ag 0.000 0.500 0.250 (multiplicity 2)
Hg 0.000 0.000 0.500 (multiplicity 2)
Hg 0.000 0.500 0.750 (multiplicity 2)

VASP energy, eV/atom: -3.065
Formation energy, eV/atom: -0.303

[12]
An optimized crystal structure of ScAgHg. Source: Alexandria via LeMat-Bulk, functional PBEsol.

Cell lengths 4.6927, 4.6927, 3.0623 Å; angles 90.00, 90.00, 120.00 degrees
Space group P-6m2 (No. 187)
Inequivalent atoms, fractional coordinates:
Sc 0.0000 0.0000 0.0000 (multiplicity 1)
Ag 0.3333 0.6667 0.5000 (multiplicity 1)
Hg 0.6667 0.3333 0.5000 (multiplicity 1)

VASP energy, eV/atom: -3.826
Formation energy, eV/atom: -0.332

[13]
An optimized crystal structure of ScAg2Hg. Source: Alexandria via LeMat-Bulk, functional PBEsol.

Cell lengths 6.645, 6.645, 6.645 Å; angles 90.00, 90.00, 90.00 degrees
Space group F-43m (No. 216)
Inequivalent atoms, fractional coordinates:
Sc 0.000 0.000 0.000 (multiplicity 4)
Ag 0.000 0.000 0.500 (multiplicity 4)
Ag 0.250 0.250 0.750 (multiplicity 4)
Hg 0.250 0.250 0.250 (multiplicity 4)

VASP energy, eV/atom: -3.734
Formation energy, eV/atom: -0.285

[14]
An optimized crystal structure of ScAg2Hg. Source: Alexandria via LeMat-Bulk, functional PBEsol.

Cell lengths 4.355, 4.355, 7.744 Å; angles 90.00, 90.00, 90.00 degrees
Space group I-4m2 (No. 119)
Inequivalent atoms, fractional coordinates:
Sc 0.000 0.000 0.000 (multiplicity 2)
Ag 0.000 0.000 0.500 (multiplicity 2)
Ag 0.000 0.500 0.250 (multiplicity 2)
Hg 0.000 0.500 0.750 (multiplicity 2)

VASP energy, eV/atom: -3.740
Formation energy, eV/atom: -0.291

[15]
An optimized crystal structure of ScAg4Hg. Source: Alexandria via LeMat-Bulk, functional PBEsol.

Cell lengths 7.609, 7.609, 7.609 Å; angles 90.00, 90.00, 90.00 degrees
Space group F-43m (No. 216)
Inequivalent atoms, fractional coordinates:
Sc 0.000 0.000 0.000 (multiplicity 4)
Ag 0.125 0.125 0.375 (multiplicity 16)
Hg 0.250 0.250 0.750 (multiplicity 4)

VASP energy, eV/atom: -3.518
Formation energy, eV/atom: -0.115

[16]
An optimized crystal structure of Sc2Ag2Hg. Source: Alexandria via LeMat-Bulk, functional PBEsol.

Cell lengths 5.233, 5.233, 7.967 Å; angles 90.00, 90.00, 90.00 degrees
Space group I4/mmm (No. 139)
Inequivalent atoms, fractional coordinates:
Sc 0.000 0.500 0.250 (multiplicity 4)
Ag 0.000 0.000 0.153 (multiplicity 4)
Hg 0.000 0.000 0.500 (multiplicity 2)

VASP energy, eV/atom: -4.041
Formation energy, eV/atom: 0.039

[17]
An optimized crystal structure of ScAg2Hg. Source: Alexandria via LeMat-Bulk, functional PBEsol.

Cell lengths 3.1795, 3.1795, 26.6672 Å; angles 90.00, 90.00, 120.00 degrees
Space group R3m (No. 160, hexagonal axes)
Inequivalent atoms, fractional coordinates:
Sc 0.0000 0.0000 0.0000 (multiplicity 3)
Ag 0.0000 0.0000 0.2508 (multiplicity 3)
Ag 0.0000 0.0000 0.5039 (multiplicity 3)
Hg 0.0000 0.0000 0.7538 (multiplicity 3)

VASP energy, eV/atom: -3.509
Formation energy, eV/atom: -0.060

[18]
An optimized crystal structure of ScAgHg2. Source: Alexandria via LeMat-Bulk, functional PBEsol.

Cell lengths 3.3143, 3.3143, 26.0884 Å; angles 90.00, 90.00, 120.00 degrees
Space group R-3m (No. 166, hexagonal axes)
Inequivalent atoms, fractional coordinates:
Sc 0.0000 0.0000 0.0000 (multiplicity 3)
Ag 0.0000 0.0000 0.5000 (multiplicity 3)
Hg 0.0000 0.0000 0.2485 (multiplicity 6)

VASP energy, eV/atom: -2.935
Formation energy, eV/atom: -0.172

[19]
An optimized crystal structure of ScAgHg2. Source: Alexandria via LeMat-Bulk, functional PBEsol.

Cell lengths 3.430, 3.430, 6.639 Å; angles 90.00, 90.00, 90.00 degrees
Space group P4/mmm (No. 123)
Inequivalent atoms, fractional coordinates:
Sc 0.000 0.000 0.000 (multiplicity 1)
Ag 0.000 0.000 0.500 (multiplicity 1)
Hg 0.500 0.500 0.256 (multiplicity 2)

VASP energy, eV/atom: -3.053
Formation energy, eV/atom: -0.291

[20]
An optimized crystal structure of ScAg2Hg. Source: Alexandria via LeMat-Bulk, functional PBEsol.

Cell lengths 4.342, 4.342, 7.770 Å; angles 90.00, 90.00, 90.00 degrees
Space group I4/mmm (No. 139)
Inequivalent atoms, fractional coordinates:
Sc 0.000 0.000 0.000 (multiplicity 2)
Ag 0.000 0.500 0.250 (multiplicity 4)
Hg 0.000 0.000 0.500 (multiplicity 2)

VASP energy, eV/atom: -3.723
Formation energy, eV/atom: -0.275

[21]
An optimized crystal structure of Sc2TlAgHg. Source: Alexandria via LeMat-Bulk, functional PBEsol.

Cell lengths 5.347, 5.347, 5.215 Å; angles 90.00, 90.00, 90.00 degrees
Space group P4/mmm (No. 123)
Inequivalent atoms, fractional coordinates:
Sc 0.000 0.500 0.000 (multiplicity 2)
Tl 0.000 0.000 0.000 (multiplicity 1)
Ag 0.500 0.500 0.500 (multiplicity 1)
Hg 0.000 0.000 0.500 (multiplicity 1)

VASP energy, eV/atom: -3.231
Formation energy, eV/atom: 0.713

[22]
An optimized crystal structure of Sc2ZnAgHg. Source: Alexandria via LeMat-Bulk, functional PBEsol.

Cell lengths 5.094, 5.094, 4.652 Å; angles 90.00, 90.00, 90.00 degrees
Space group P4/mmm (No. 123)
Inequivalent atoms, fractional coordinates:
Sc 0.000 0.500 0.000 (multiplicity 2)
Zn 0.000 0.000 0.500 (multiplicity 1)
Ag 0.000 0.000 0.000 (multiplicity 1)
Hg 0.500 0.500 0.500 (multiplicity 1)

VASP energy, eV/atom: -3.449
Formation energy, eV/atom: 0.285

[23]
An optimized crystal structure of AgHg2Se. Source: Alexandria via LeMat-Bulk, functional PBEsol.

Cell lengths 6.940, 6.940, 6.940 Å; angles 90.00, 90.00, 90.00 degrees
Space group F-43m (No. 216)
Inequivalent atoms, fractional coordinates:
Ag 0.000 0.000 0.000 (multiplicity 4)
Hg 0.000 0.000 0.500 (multiplicity 4)
Hg 0.250 0.250 0.250 (multiplicity 4)
Se 0.250 0.250 0.750 (multiplicity 4)

VASP energy, eV/atom: -1.932
ΔE_f (raw), eV/atom: 0.142

[24]
An optimized crystal structure of AgHgSe. Source: Alexandria via LeMat-Bulk, functional PBEsol.

Cell lengths 4.144, 4.354, 13.491 Å; angles 90.00, 90.00, 90.00 degrees
Space group Fmm2 (No. 42)
Inequivalent atoms, fractional coordinates:
Ag 0.000 0.000 0.000 (multiplicity 4)
Hg 0.000 0.000 0.342 (multiplicity 4)
Se 0.000 0.000 0.645 (multiplicity 4)

VASP energy, eV/atom: -2.438
ΔE_f (raw), eV/atom: 0.138

[25]
An optimized crystal structure of AgHg3Se. Source: Alexandria via LeMat-Bulk, functional PBEsol.

Cell lengths 5.313, 5.313, 5.313 Å; angles 90.00, 90.00, 90.00 degrees
Space group Pm-3m (No. 221)
Inequivalent atoms, fractional coordinates:
Ag 0.000 0.000 0.000 (multiplicity 1)
Hg 0.000 0.500 0.500 (multiplicity 3)
Se 0.500 0.500 0.500 (multiplicity 1)

VASP energy, eV/atom: -1.225
ΔE_f (raw), eV/atom: 0.547

[26]
An optimized crystal structure of AgHg2Se. Source: Alexandria via LeMat-Bulk, functional PBEsol.

Cell lengths 3.746, 3.803, 12.515 Å; angles 90.00, 90.00, 90.00 degrees
Space group Immm (No. 71)
Inequivalent atoms, fractional coordinates:
Ag 0.000 0.000 0.000 (multiplicity 2)
Hg 0.000 0.500 0.200 (multiplicity 4)
Se 0.000 0.000 0.500 (multiplicity 2)

VASP energy, eV/atom: -2.039
ΔE_f (raw), eV/atom: 0.034

[27]
An optimized crystal structure of Ag2SnHgSe4. Source: Alexandria via LeMat-Bulk, functional PBEsol.

Cell lengths 8.428, 7.370, 7.013 Å; angles 90.00, 90.00, 90.00 degrees
Space group Pmn2_1 (No. 31)
Inequivalent atoms, fractional coordinates:
Ag 0.246 0.176 0.000 (multiplicity 4)
Sn 0.000 0.666 0.016 (multiplicity 2)
Hg 0.000 0.350 0.521 (multiplicity 2)
Se 0.000 0.339 0.137 (multiplicity 2)
Se 0.000 0.685 0.649 (multiplicity 2)
Se 0.245 0.842 0.133 (multiplicity 4)

VASP energy, eV/atom: -3.555
ΔE_f (raw), eV/atom: -0.199

[28]
An optimized crystal structure of Ag4Sn2Hg3Se9. Source: Alexandria via LeMat-Bulk, functional PBEsol.

Cell lengths 7.381, 7.386, 10.447 Å; angles 89.60, 89.94, 60.22 degrees
Space group P1 (No. 1)
Inequivalent atoms, fractional coordinates:
Ag 0.000 0.000 0.000 (multiplicity 1)
Ag 0.003 0.669 0.665 (multiplicity 1)
Ag 0.664 0.325 0.672 (multiplicity 1)
Ag 0.978 0.329 0.367 (multiplicity 1)
Sn 0.342 0.994 0.662 (multiplicity 1)
Sn 0.672 0.660 0.007 (multiplicity 1)
Hg 0.308 0.681 0.332 (multiplicity 1)
Hg 0.322 0.372 0.031 (multiplicity 1)
Hg 0.670 0.015 0.321 (multiplicity 1)
Se 0.002 0.329 0.610 (multiplicity 1)
Se 0.303 0.336 0.274 (multiplicity 1)
Se 0.339 0.000 0.919 (multiplicity 1)
Se 0.340 0.663 0.591 (multiplicity 1)
Se 0.663 0.338 0.922 (multiplicity 1)
Se 0.670 0.660 0.254 (multiplicity 1)
Se 0.670 0.996 0.585 (multiplicity 1)
Se 0.987 0.676 0.916 (multiplicity 1)
Se 0.998 0.021 0.246 (multiplicity 1)

VASP energy, eV/atom: -3.409
ΔE_f (raw), eV/atom: -0.180

[29]
An optimized crystal structure of SiAg3Hg. Source: Alexandria via LeMat-Bulk, functional PBEsol.

Cell lengths 5.049, 5.049, 5.049 Å; angles 90.00, 90.00, 90.00 degrees
Space group Pm-3m (No. 221)
Inequivalent atoms, fractional coordinates:
Si 0.000 0.000 0.000 (multiplicity 1)
Ag 0.000 0.500 0.500 (multiplicity 3)
Hg 0.500 0.500 0.500 (multiplicity 1)

VASP energy, eV/atom: -2.158
ΔE_f (raw), eV/atom: 1.092

The records above yield density values of 11206; 9543; 10966; 9840; 10979; 9862; 8701; 11561; 10241; 10283; 11948; 10049; 10441; 10432; 10206; 7706; 9843; 11121; 11776; 10457; 6713; 6379; 11685; 10572; 8731; 10955; 6488; 6655; 7124 kg/m3, respectively.
The records above yield Fermi-level density of states values of 0.297; 0.402; 0.319; 0.390; 0.340; 0.442; 0.701; 0.422; 0.512; 0.583; 0.404; 0.664; 0.612; 0.475; 0.502; 0.610; 0.649; 0.567; 0.621; 0.474; 1.233; 1.229; 0.731; 0.396; 0.632; 0.321; 0.034; 0.105; 0.415 states/eV/atom, respectively.